# 1
RbGdSe2: relaxed, GGA-PBEsol.

The total energy is -7.535 eV/atom. The raw formation energy is -1742 meV per atom.

The structure belongs to space group R-3m (No. 166, hexagonal axes); the cell edges are 4.2141, 4.2141 and 23.5643 Å and the angles 90.00°, 90.00° and 120.00°. Symmetry generates all atoms from Rb at (0.0000, 0.0000, 0.0000), Gd at (0.0000, 0.0000, 0.5000) and Se at (0.0000, 0.0000, 0.2327).

# 2
RbGdTe4: relaxed, GGA-PBEsol.

The total energy is -5.875 eV/atom. The raw formation energy is -946 meV per atom.

The structure belongs to space group P4/nbm (No. 125, origin choice 2); the cell edges are 6.757, 6.757 and 9.068 Å and the angles 90.00°, 90.00° and 90.00°. Symmetry generates all atoms from Rb at (0.250, 0.250, 0.000), Gd at (0.250, 0.250, 0.500) and Te at (0.102, 0.602, 0.298).

# 3
GdRe2: relaxed, GGA-PBEsol.

Its energy relative to the elements is -0.134 eV/atom. The total energy is -13.838 eV/atom.

The structure belongs to space group P6_3/mmc (No. 194); the cell edges are 5.3908, 5.3908 and 8.7325 Å and the angles 90.00°, 90.00° and 120.00°. Symmetry generates all atoms from Gd at (0.3333, 0.6667, 0.0625), Re at (0.0000, 0.0000, 0.0000) and Re at (0.1705, 0.3411, 0.7500).

# 4
GdRh: relaxed, GGA-PBEsol.

Its energy relative to the elements is -0.739 eV/atom. The total energy is -12.032 eV/atom.

The structure belongs to space group Pm-3m (No. 221); the cell edges are 3.400, 3.400 and 3.400 Å and the angles 90.00°, 90.00° and 90.00°. Symmetry generates all atoms from Gd at (0.000, 0.000, 0.000) and Rh at (0.500, 0.500, 0.500).

# 5
GdRh2: relaxed, GGA-PBEsol.

Its energy relative to the elements is -0.711 eV/atom. The total energy is -10.953 eV/atom.

The structure belongs to space group Fd-3m (No. 227, origin choice 2); the cell edges are 7.449, 7.449 and 7.449 Å and the angles 90.00°, 90.00° and 90.00°. Symmetry generates all atoms from Gd at (0.125, 0.125, 0.125) and Rh at (0.000, 0.000, 0.500).

# 6
GdRh3: relaxed, GGA-PBEsol.

Its energy relative to the elements is -0.208 eV/atom. The total energy is -9.924 eV/atom.

The structure belongs to space group P6_3/mmc (No. 194); the cell edges are 5.2826, 5.2826 and 17.0926 Å and the angles 90.00°, 90.00° and 120.00°. Symmetry generates all atoms from Gd at (0.3333, 0.6667, 0.0501), Gd at (0.3333, 0.6667, 0.7500), Rh at (0.0000, 0.0000, 0.0000), Rh at (0.0000, 0.0000, 0.2500), Rh at (0.1653, 0.3306, 0.6212) and Rh at (0.3333, 0.6667, 0.2500).

# 7
Gd2RuRh: relaxed, GGA-PBEsol.

Its energy relative to the elements is -0.481 eV/atom. The total energy is -12.283 eV/atom.

The structure belongs to space group Fm-3m (No. 225); the cell edges are 6.760, 6.760 and 6.760 Å and the angles 90.00°, 90.00° and 90.00°. Symmetry generates all atoms from Gd at (0.250, 0.250, 0.250), Ru at (0.000, 0.000, 0.000) and Rh at (0.000, 0.000, 0.500).

# 8
GdZnRh: relaxed, GGA-PBEsol.

Its energy relative to the elements is -0.678 eV/atom. The total energy is -8.734 eV/atom.

The structure belongs to space group Pnma (No. 62); the cell edges are 6.864, 3.984 and 8.037 Å and the angles 90.00°, 90.00° and 90.00°. Symmetry generates all atoms from Gd at (0.039, 0.250, 0.185), Zn at (0.135, 0.250, 0.563) and Rh at (0.244, 0.750, 0.376).

# 9
GdRu2: relaxed, GGA-PBEsol.

Its energy relative to the elements is -0.208 eV/atom. The total energy is -11.806 eV/atom.

The structure belongs to space group Fd-3m (No. 227, origin choice 2); the cell edges are 7.459, 7.459 and 7.459 Å and the angles 90.00°, 90.00° and 90.00°. Symmetry generates all atoms from Gd at (0.125, 0.125, 0.125) and Ru at (0.000, 0.000, 0.500).

# 10
GdSiRu: relaxed, GGA-PBEsol.

The total energy is -10.951 eV/atom. The raw formation energy is -829 meV per atom.

The structure belongs to space group P4/nmm (No. 129, origin choice 2); the cell edges are 4.160, 4.160 and 6.566 Å and the angles 90.00°, 90.00° and 90.00°. Symmetry generates all atoms from Gd at (0.250, 0.250, 0.177), Si at (0.250, 0.250, 0.687) and Ru at (0.250, 0.750, 0.500).

# 11
GdYRu2: relaxed, GGA-PBEsol.

Its energy relative to the elements is -0.213 eV/atom. The total energy is -10.617 eV/atom.

The structure belongs to space group Fm-3m (No. 225); the cell edges are 6.712, 6.712 and 6.712 Å and the angles 90.00°, 90.00° and 90.00°. Symmetry generates all atoms from Gd at (0.000, 0.000, 0.000), Y at (0.000, 0.000, 0.500) and Ru at (0.250, 0.250, 0.250).

# 12
Gd2ZnRu: relaxed, GGA-PBEsol.

Its energy relative to the elements is -0.289 eV/atom. The total energy is -10.451 eV/atom.

The structure belongs to space group Fm-3m (No. 225); the cell edges are 6.883, 6.883 and 6.883 Å and the angles 90.00°, 90.00° and 90.00°. Symmetry generates all atoms from Gd at (0.250, 0.250, 0.250), Zn at (0.000, 0.000, 0.000) and Ru at (0.000, 0.000, 0.500).

# 13
GdZrRu2: relaxed, GGA-PBEsol.

Its energy relative to the elements is -0.389 eV/atom. The total energy is -11.360 eV/atom.

The structure belongs to space group Fm-3m (No. 225); the cell edges are 6.585, 6.585 and 6.585 Å and the angles 90.00°, 90.00° and 90.00°. Symmetry generates all atoms from Gd at (0.000, 0.000, 0.000), Zr at (0.000, 0.000, 0.500) and Ru at (0.250, 0.250, 0.250).

# 14
Gd2S3: relaxed, GGA-PBEsol.

The total energy is -10.561 eV/atom. The raw formation energy is -2151 meV per atom.

The structure belongs to space group Pnma (No. 62); the cell edges are 7.241, 3.895 and 15.051 Å and the angles 90.00°, 90.00° and 90.00°. Symmetry generates all atoms from Gd at (0.140, 0.250, 0.205), Gd at (0.234, 0.750, 0.457), S at (0.007, 0.250, 0.391), S at (0.125, 0.750, 0.068) and S at (0.149, 0.250, 0.781).

# 15
Gd3S4: relaxed, GGA-PBEsol.

The total energy is -10.857 eV/atom. The raw formation energy is -2159 meV per atom.

The structure belongs to space group I-43d (No. 220); the cell edges are 8.265, 8.265 and 8.265 Å and the angles 90.00°, 90.00° and 90.00°. Symmetry generates all atoms from Gd at (0.000, 0.250, 0.375) and S at (0.074, 0.074, 0.074).

# 16
Gd4Si3S12: relaxed, GGA-PBEsol.

The total energy is -8.173 eV/atom. The raw formation energy is -1455 meV per atom.

The structure belongs to space group R3c (No. 161, hexagonal axes); the cell edges are 18.7211, 18.7211 and 7.6774 Å and the angles 90.00°, 90.00° and 120.00°. Symmetry generates all atoms from Gd at (0.0000, 0.0000, 0.0000), Gd at (0.1047, 0.4325, 0.4537), Si at (0.0133, 0.1992, 0.3423), S at (0.0030, 0.2724, 0.1426), S at (0.0457, 0.4868, 0.1705), S at (0.0612, 0.1241, 0.7497) and S at (0.2022, 0.0872, 0.4971).

# 17
GdTlS2: relaxed, GGA-PBEsol.

The total energy is -7.946 eV/atom. The raw formation energy is -1485 meV per atom.

The structure belongs to space group R-3m (No. 166, hexagonal axes); the cell edges are 3.9987, 3.9987 and 22.0102 Å and the angles 90.00°, 90.00° and 120.00°. Symmetry generates all atoms from Gd at (0.0000, 0.0000, 0.0000), Tl at (0.0000, 0.0000, 0.5000) and S at (0.0000, 0.0000, 0.2656).

# 18
Gd4Sb3: relaxed, GGA-PBEsol.

The total energy is -11.314 eV/atom. The raw formation energy is -1105 meV per atom.

The structure belongs to space group I-43d (No. 220); the cell edges are 9.149, 9.149 and 9.149 Å and the angles 90.00°, 90.00° and 90.00°. Symmetry generates all atoms from Gd at (0.073, 0.073, 0.073) and Sb at (0.000, 0.250, 0.375).

# 19
GdZrSb: relaxed, GGA-PBEsol.

The total energy is -10.231 eV/atom. The raw formation energy is -865 meV per atom.

The structure belongs to space group I4/mmm (No. 139); the cell edges are 4.230, 4.230 and 16.612 Å and the angles 90.00°, 90.00° and 90.00°. Symmetry generates all atoms from Gd at (0.000, 0.000, 0.178), Zr at (0.000, 0.500, 0.000) and Sb at (0.000, 0.000, 0.370).

# 20
GdScSi: relaxed, GGA-PBEsol.

The total energy is -9.626 eV/atom. The raw formation energy is -692 meV per atom.

The structure belongs to space group I4/mmm (No. 139); the cell edges are 4.161, 4.161 and 15.436 Å and the angles 90.00°, 90.00° and 90.00°. Symmetry generates all atoms from Gd at (0.000, 0.000, 0.178), Sc at (0.000, 0.500, 0.000) and Si at (0.000, 0.000, 0.375).

# 21
Gd3Se4: relaxed, GGA-PBEsol.

The total energy is -10.323 eV/atom. The raw formation energy is -1930 meV per atom.

The structure belongs to space group I-43d (No. 220); the cell edges are 8.633, 8.633 and 8.633 Å and the angles 90.00°, 90.00° and 90.00°. Symmetry generates all atoms from Gd at (0.000, 0.250, 0.375) and Se at (0.074, 0.074, 0.074).

# 22
Gd2Se3: relaxed, GGA-PBEsol.

The total energy is -10.020 eV/atom. The raw formation energy is -1930 meV per atom.

The structure belongs to space group Pnma (No. 62); the cell edges are 11.108, 4.023 and 10.801 Å and the angles 90.00°, 90.00° and 90.00°. Symmetry generates all atoms from Gd at (0.012, 0.250, 0.187), Gd at (0.194, 0.250, 0.502), Se at (0.045, 0.750, 0.375), Se at (0.121, 0.250, 0.943) and Se at (0.228, 0.750, 0.700).